1.
Density functional theory data (PBE) for EuHoMgCu after structural relaxation.

a = 7.4158 Å, b = 7.4158 Å, c = 7.4158 Å
α = 90.00°, β = 90.00°, γ = 90.00°
Space group F-43m (No. 216)
Symmetry-distinct sites (fractional):
Eu 0.0000 0.0000 0.0000 x4
Ho 0.0000 0.0000 0.5000 x4
Mg 0.2500 0.2500 0.2500 x4
Cu 0.2500 0.2500 0.7500 x4

- DFT formation energy: -0.028 eV per formula unit
- Total magnetic moment: 7.2 μB per formula unit


2.
Density functional theory data (PBE) for EuHoCuPd after structural relaxation.

a = 7.0915 Å, b = 7.0915 Å, c = 7.0915 Å
α = 90.00°, β = 90.00°, γ = 90.00°
Space group F-43m (No. 216)
Symmetry-distinct sites (fractional):
Eu 0.0000 0.0000 0.0000 x4
Ho 0.0000 0.0000 0.5000 x4
Cu 0.2500 0.2500 0.2500 x4
Pd 0.2500 0.2500 0.7500 x4

- DFT formation energy: -1.733 eV per formula unit
- Total magnetic moment: 7.0 μB per formula unit


3.
Density functional theory data (PBE) for EuHoCuRu after structural relaxation.

a = 6.9413 Å, b = 6.9413 Å, c = 6.9413 Å
α = 90.00°, β = 90.00°, γ = 90.00°
Space group F-43m (No. 216)
Symmetry-distinct sites (fractional):
Eu 0.0000 0.0000 0.0000 x4
Ho 0.0000 0.0000 0.5000 x4
Cu 0.2500 0.2500 0.7500 x4
Ru 0.2500 0.2500 0.2500 x4

- DFT formation energy: -0.413 eV per formula unit
- Total magnetic moment: 6.8 μB per formula unit


4.
Density functional theory data (PBE) for EuHoCuSi after structural relaxation.

a = 7.1005 Å, b = 7.1005 Å, c = 7.1005 Å
α = 90.00°, β = 90.00°, γ = 90.00°
Space group F-43m (No. 216)
Symmetry-distinct sites (fractional):
Eu 0.0000 0.0000 0.0000 x4
Ho 0.0000 0.0000 0.5000 x4
Cu 0.2500 0.2500 0.2500 x4
Si 0.2500 0.2500 0.7500 x4

- Total magnetic moment: 7.2 μB per formula unit
- Energy relative to the elements, uncorrected: -1.42 eV/f.u.


5.
Density functional theory data (PBE) for EuHoTlCu after structural relaxation.

a = 7.4571 Å, b = 7.4571 Å, c = 7.4571 Å
α = 90.00°, β = 90.00°, γ = 90.00°
Space group F-43m (No. 216)
Symmetry-distinct sites (fractional):
Eu 0.0000 0.0000 0.0000 x4
Ho 0.0000 0.0000 0.5000 x4
Tl 0.2500 0.2500 0.7500 x4
Cu 0.2500 0.2500 0.2500 x4

- DFT formation energy: -0.773 eV per formula unit
- Total magnetic moment: 6.8 μB per formula unit


6.
Density functional theory data (PBE) for EuHoZnCu after structural relaxation.

a = 7.1759 Å, b = 7.1759 Å, c = 7.1759 Å
α = 90.00°, β = 90.00°, γ = 90.00°
Space group F-43m (No. 216)
Symmetry-distinct sites (fractional):
Eu 0.0000 0.0000 0.0000 x4
Ho 0.0000 0.0000 0.5000 x4
Zn 0.2500 0.2500 0.7500 x4
Cu 0.2500 0.2500 0.2500 x4

- DFT formation energy: -0.767 eV per formula unit
- Total magnetic moment: 7.1 μB per formula unit


7.
Density functional theory data (PBE) for Eu2CuI after structural relaxation.

a = 3.8069 Å, b = 3.8069 Å, c = 8.2584 Å
α = 90.00°, β = 90.00°, γ = 90.00°
Space group P4/mmm (No. 123)
Symmetry-distinct sites (fractional):
Eu 0.0000 0.0000 0.2134 x2
Cu 0.5000 0.5000 0.0000 x1
I 0.5000 0.5000 0.5000 x1

- Total magnetic moment: 14.6 μB per formula unit
- Distance to the lowest polymorph of the same formula: 0.0718 eV per atom
- Energy relative to the elements, uncorrected: -2.15 eV/f.u.


8.
Density functional theory data (PBE) for Eu2CuI after structural relaxation.

a = 4.3217 Å, b = 4.3217 Å, c = 24.5646 Å
α = 90.00°, β = 90.00°, γ = 120.00°
Space group R-3m (No. 166, hexagonal axes)
Symmetry-distinct sites (fractional):
Eu 0.0000 0.0000 0.2340 x6
Cu 0.0000 0.0000 0.5000 x3
I 0.0000 0.0000 0.0000 x3

- Total magnetic moment: 14.4 μB per formula unit
- Distance to the lowest polymorph of the same formula: 0.0000 eV per atom
- Energy relative to the elements, uncorrected: -2.44 eV/f.u.


9.
Density functional theory data (PBE) for EuIn2Cu after structural relaxation.

a = 3.4647 Å, b = 3.4647 Å, c = 7.7851 Å
α = 90.00°, β = 90.00°, γ = 90.00°
Space group P4/mmm (No. 123)
Symmetry-distinct sites (fractional):
Eu 0.0000 0.0000 0.0000 x1
In 0.5000 0.5000 0.3037 x2
Cu 0.0000 0.0000 0.5000 x1

- DFT formation energy: -0.759 eV per formula unit
- Total magnetic moment: 7.1 μB per formula unit


10.
Density functional theory data (PBE) for EuIn3Cu after structural relaxation.

a = 5.1237 Å, b = 5.1237 Å, c = 5.1237 Å
α = 90.00°, β = 90.00°, γ = 90.00°
Space group Pm-3m (No. 221)
Symmetry-distinct sites (fractional):
Eu 0.0000 0.0000 0.0000 x1
In 0.0000 0.5000 0.5000 x3
Cu 0.5000 0.5000 0.5000 x1

- DFT formation energy: -0.538 eV per formula unit
- Total magnetic moment: 7.3 μB per formula unit


11.
Density functional theory data (PBE) for EuIn2Cu after structural relaxation.

a = 4.5281 Å, b = 4.5281 Å, c = 17.4864 Å
α = 90.00°, β = 90.00°, γ = 120.00°
Space group R-3m (No. 166, hexagonal axes)
Symmetry-distinct sites (fractional):
Eu 0.0000 0.0000 0.0000 x3
In 0.0000 0.0000 0.2147 x6
Cu 0.0000 0.0000 0.5000 x3

- DFT formation energy: -0.894 eV per formula unit
- Total magnetic moment: 7.0 μB per formula unit


12.
Density functional theory data (PBE) for EuInCu after structural relaxation.

a = 4.6890 Å, b = 4.6890 Å, c = 3.9340 Å
α = 90.00°, β = 90.00°, γ = 120.00°
Space group P-6m2 (No. 187)
Symmetry-distinct sites (fractional):
Eu 0.0000 0.0000 0.0000 x1
In 0.6667 0.3333 0.5000 x1
Cu 0.3333 0.6667 0.5000 x1

- DFT formation energy: -0.820 eV per formula unit
- Total magnetic moment: 7.1 μB per formula unit


13.
Density functional theory data (PBE) for EuInCu after structural relaxation.

a = 6.7957 Å, b = 6.7957 Å, c = 6.7957 Å
α = 90.00°, β = 90.00°, γ = 90.00°
Space group F-43m (No. 216)
Symmetry-distinct sites (fractional):
Eu 0.0000 0.0000 0.0000 x4
In 0.0000 0.0000 0.5000 x4
Cu 0.2500 0.2500 0.2500 x4

- DFT formation energy: -0.498 eV per formula unit
- Total magnetic moment: 7.4 μB per formula unit


14.
Density functional theory data (PBE) for EuInCu after structural relaxation.

a = 3.5446 Å, b = 3.5446 Å, c = 11.3981 Å
α = 90.00°, β = 90.00°, γ = 90.00°
Space group I4mm (No. 107)
Symmetry-distinct sites (fractional):
Eu 0.0000 0.0000 0.0000 x2
In 0.0000 0.0000 0.7076 x2
Cu 0.0000 0.0000 0.3190 x2

- DFT formation energy: -0.465 eV per formula unit
- Total magnetic moment: 7.2 μB per formula unit


15.
Density functional theory data (PBE) for LaEuInCu after structural relaxation.

a = 7.6608 Å, b = 7.6608 Å, c = 7.6608 Å
α = 90.00°, β = 90.00°, γ = 90.00°
Space group F-43m (No. 216)
Symmetry-distinct sites (fractional):
La 0.0000 0.0000 0.0000 x4
Eu 0.0000 0.0000 0.5000 x4
In 0.2500 0.2500 0.7500 x4
Cu 0.2500 0.2500 0.2500 x4

- DFT formation energy: -1.012 eV per formula unit
- Total magnetic moment: 7.0 μB per formula unit


16.
Density functional theory data (PBE) for EuMgInCu after structural relaxation.

a = 7.1780 Å, b = 7.1780 Å, c = 7.1780 Å
α = 90.00°, β = 90.00°, γ = 90.00°
Space group F-43m (No. 216)
Symmetry-distinct sites (fractional):
Eu 0.0000 0.0000 0.0000 x4
Mg 0.0000 0.0000 0.5000 x4
In 0.2500 0.2500 0.2500 x4
Cu 0.2500 0.2500 0.7500 x4

- DFT formation energy: -0.653 eV per formula unit
- Total magnetic moment: 7.0 μB per formula unit


17.
Density functional theory data (PBE) for NdEuInCu after structural relaxation.

a = 7.5803 Å, b = 7.5803 Å, c = 7.5803 Å
α = 90.00°, β = 90.00°, γ = 90.00°
Space group F-43m (No. 216)
Symmetry-distinct sites (fractional):
Nd 0.0000 0.0000 0.0000 x4
Eu 0.0000 0.0000 0.5000 x4
In 0.2500 0.2500 0.7500 x4
Cu 0.2500 0.2500 0.2500 x4

- DFT formation energy: -0.943 eV per formula unit
- Total magnetic moment: 6.9 μB per formula unit


18.
Density functional theory data (PBE) for EuInCuNi after structural relaxation.

a = 6.7416 Å, b = 6.7416 Å, c = 6.7416 Å
α = 90.00°, β = 90.00°, γ = 90.00°
Space group F-43m (No. 216)
Symmetry-distinct sites (fractional):
Eu 0.0000 0.0000 0.0000 x4
In 0.0000 0.0000 0.5000 x4
Cu 0.2500 0.2500 0.7500 x4
Ni 0.2500 0.2500 0.2500 x4

- DFT formation energy: -0.356 eV per formula unit
- Total magnetic moment: 7.0 μB per formula unit


19.
Density functional theory data (PBE) for EuInCuPd after structural relaxation.

a = 6.9151 Å, b = 6.9151 Å, c = 6.9151 Å
α = 90.00°, β = 90.00°, γ = 90.00°
Space group F-43m (No. 216)
Symmetry-distinct sites (fractional):
Eu 0.0000 0.0000 0.0000 x4
In 0.0000 0.0000 0.5000 x4
Cu 0.2500 0.2500 0.7500 x4
Pd 0.2500 0.2500 0.2500 x4

- DFT formation energy: -1.392 eV per formula unit
- Total magnetic moment: 7.0 μB per formula unit


20.
Density functional theory data (PBE) for PrEuInCu after structural relaxation.

a = 7.6104 Å, b = 7.6104 Å, c = 7.6104 Å
α = 90.00°, β = 90.00°, γ = 90.00°
Space group F-43m (No. 216)
Symmetry-distinct sites (fractional):
Pr 0.0000 0.0000 0.0000 x4
Eu 0.0000 0.0000 0.5000 x4
In 0.2500 0.2500 0.2500 x4
Cu 0.2500 0.2500 0.7500 x4

- DFT formation energy: -0.936 eV per formula unit
- Total magnetic moment: 7.0 μB per formula unit


21.
Density functional theory data (PBE) for EuPuInCu after structural relaxation.

a = 7.4896 Å, b = 7.4896 Å, c = 7.4896 Å
α = 90.00°, β = 90.00°, γ = 90.00°
Space group F-43m (No. 216)
Symmetry-distinct sites (fractional):
Eu 0.0000 0.0000 0.0000 x4
Pu 0.0000 0.0000 0.5000 x4
In 0.2500 0.2500 0.7500 x4
Cu 0.2500 0.2500 0.2500 x4

- DFT formation energy: -0.027 eV per formula unit
- Total magnetic moment: 12.8 μB per formula unit


22.
Density functional theory data (PBE) for EuThInCu after structural relaxation.

a = 7.5486 Å, b = 7.5486 Å, c = 7.5486 Å
α = 90.00°, β = 90.00°, γ = 90.00°
Space group F-43m (No. 216)
Symmetry-distinct sites (fractional):
Eu 0.0000 0.0000 0.0000 x4
Th 0.0000 0.0000 0.5000 x4
In 0.2500 0.2500 0.7500 x4
Cu 0.2500 0.2500 0.2500 x4

- DFT formation energy: -0.443 eV per formula unit
- Total magnetic moment: 7.4 μB per formula unit


23.
Density functional theory data (PBE) for EuTmInCu after structural relaxation.

a = 7.3976 Å, b = 7.3976 Å, c = 7.3976 Å
α = 90.00°, β = 90.00°, γ = 90.00°
Space group F-43m (No. 216)
Symmetry-distinct sites (fractional):
Eu 0.0000 0.0000 0.0000 x4
Tm 0.0000 0.0000 0.5000 x4
In 0.2500 0.2500 0.7500 x4
Cu 0.2500 0.2500 0.2500 x4

- DFT formation energy: -0.927 eV per formula unit
- Total magnetic moment: 6.8 μB per formula unit


24.
Density functional theory data (PBE) for EuZnInCu after structural relaxation.

a = 6.9124 Å, b = 6.9124 Å, c = 6.9124 Å
α = 90.00°, β = 90.00°, γ = 90.00°
Space group F-43m (No. 216)
Symmetry-distinct sites (fractional):
Eu 0.0000 0.0000 0.0000 x4
Zn 0.2500 0.2500 0.2500 x4
In 0.0000 0.0000 0.5000 x4
Cu 0.2500 0.2500 0.7500 x4

- DFT formation energy: -0.892 eV per formula unit
- Total magnetic moment: 6.9 μB per formula unit


25.
Density functional theory data (PBE) for EuCuIr after structural relaxation.

a = 4.2222 Å, b = 4.2222 Å, c = 4.0340 Å
α = 90.00°, β = 90.00°, γ = 120.00°
Space group P-6m2 (No. 187)
Symmetry-distinct sites (fractional):
Eu 0.0000 0.0000 0.0000 x1
Cu 0.6667 0.3333 0.5000 x1
Ir 0.3333 0.6667 0.5000 x1

- DFT formation energy: -0.416 eV per formula unit
- Total magnetic moment: 6.6 μB per formula unit


26.
Density functional theory data (PBE) for Eu2CuIr after structural relaxation.

a = 3.5432 Å, b = 3.5432 Å, c = 7.2971 Å
α = 90.00°, β = 90.00°, γ = 90.00°
Space group P4/mmm (No. 123)
Symmetry-distinct sites (fractional):
Eu 0.0000 0.0000 0.2342 x2
Cu 0.5000 0.5000 0.5000 x1
Ir 0.5000 0.5000 0.0000 x1

- DFT formation energy: -0.770 eV per formula unit
- Total magnetic moment: 13.7 μB per formula unit


27.
Density functional theory data (PBE) for LaEuCuIr after structural relaxation.

a = 7.1558 Å, b = 7.1558 Å, c = 7.1558 Å
α = 90.00°, β = 90.00°, γ = 90.00°
Space group F-43m (No. 216)
Symmetry-distinct sites (fractional):
La 0.0000 0.0000 0.0000 x4
Eu 0.0000 0.0000 0.5000 x4
Cu 0.2500 0.2500 0.2500 x4
Ir 0.2500 0.2500 0.7500 x4

- DFT formation energy: -1.441 eV per formula unit
- Total magnetic moment: 7.0 μB per formula unit


28.
Density functional theory data (PBE) for LiEuCuIr after structural relaxation.

a = 6.4852 Å, b = 6.4852 Å, c = 6.4852 Å
α = 90.00°, β = 90.00°, γ = 90.00°
Space group F-43m (No. 216)
Symmetry-distinct sites (fractional):
Li 0.0000 0.0000 0.0000 x4
Eu 0.2500 0.2500 0.2500 x4
Cu 0.0000 0.0000 0.5000 x4
Ir 0.2500 0.2500 0.7500 x4

- DFT formation energy: -0.164 eV per formula unit
- Total magnetic moment: 6.7 μB per formula unit


29.
Density functional theory data (PBE) for PmEuCuIr after structural relaxation.

a = 7.0726 Å, b = 7.0726 Å, c = 7.0726 Å
α = 90.00°, β = 90.00°, γ = 90.00°
Space group F-43m (No. 216)
Symmetry-distinct sites (fractional):
Pm 0.0000 0.0000 0.0000 x4
Eu 0.0000 0.0000 0.5000 x4
Cu 0.2500 0.2500 0.2500 x4
Ir 0.2500 0.2500 0.7500 x4

- DFT formation energy: -1.388 eV per formula unit
- Total magnetic moment: 7.0 μB per formula unit


30.
Density functional theory data (PBE) for EuScCuIr after structural relaxation.

a = 6.7862 Å, b = 6.7862 Å, c = 6.7862 Å
α = 90.00°, β = 90.00°, γ = 90.00°
Space group F-43m (No. 216)
Symmetry-distinct sites (fractional):
Eu 0.0000 0.0000 0.0000 x4
Sc 0.0000 0.0000 0.5000 x4
Cu 0.2500 0.2500 0.2500 x4
Ir 0.2500 0.2500 0.7500 x4

- DFT formation energy: -1.391 eV per formula unit
- Total magnetic moment: 7.0 μB per formula unit


31.
Density functional theory data (PBE) for TbEuCuIr after structural relaxation.

a = 6.9927 Å, b = 6.9927 Å, c = 6.9927 Å
α = 90.00°, β = 90.00°, γ = 90.00°
Space group F-43m (No. 216)
Symmetry-distinct sites (fractional):
Tb 0.0000 0.0000 0.0000 x4
Eu 0.0000 0.0000 0.5000 x4
Cu 0.2500 0.2500 0.7500 x4
Ir 0.2500 0.2500 0.2500 x4

- DFT formation energy: -1.540 eV per formula unit
- Total magnetic moment: 7.0 μB per formula unit